VASP calculation (PBE) on an optimized crystal structure of ZrTiNi3.

Calculated values
- E_form: 1.00 eV per atom
- Total energy: -5.761 eV per atom
- DOS(E_F): 8.3 states/eV/cell
- Energy above the most stable polymorph in this dataset: 108.75 kJ/mol of atoms
- Crystal system: cubic
- Space group: Pm-3m (221)

Lattice parameters (Å, degrees): 4.526 4.526 4.526 90.00 90.00 90.00
Fractional positions:
Zr 0.000 0.000 0.000
Ti 0.500 0.500 0.500
Ni 0.000 0.000 0.500
Ni 0.000 0.500 0.000
Ni 0.500 0.000 0.000

---

VASP calculation (PBE) on an optimized crystal structure of ZrTiCl3.

Calculated values
- Total energy: -5.747 eV per atom
- DOS(E_F): 3.7 states/eV/cell
- ΔE_f (raw): -6.75 eV per formula unit
- Energy above the most stable polymorph in this dataset: 0.00 kJ/mol of atoms
- Crystal system: monoclinic
- Space group: C2/m (12)

Lattice parameters (Å, degrees): 8.053 8.053 9.463 106.94 106.94 23.85
Fractional positions:
Zr 0.103 0.103 0.446
Zr 0.897 0.897 0.554
Ti 0.438 0.438 0.315
Ti 0.562 0.562 0.685
Cl 0.127 0.127 0.877
Cl 0.291 0.291 0.371
Cl 0.429 0.429 0.773
Cl 0.571 0.571 0.227
Cl 0.709 0.709 0.629
Cl 0.873 0.873 0.123